Compound: InGaTcMo2
Source: Alexandria via LeMat-Bulk
Functional: GGA-PBE
Structure: optimized geometry

Output
* calculated formation energy: 1.094 eV per atom

Cell and atoms, written as CIF:
```
data_InGaTcMo2
_cell_length_a 4.758
_cell_length_b 4.758
_cell_length_c 4.769
_cell_angle_alpha 90.00
_cell_angle_beta 90.00
_cell_angle_gamma 90.00
_symmetry_space_group_name_H-M 'P 4/m m m'
_symmetry_Int_Tables_number 123
_symmetry_space_group_name_Hall '-P 4 2'
loop_
_atom_site_label
_atom_site_type_symbol
_atom_site_fract_x
_atom_site_fract_y
_atom_site_fract_z
_atom_site_occupancy
In1 In 0.000 0.000 0.000 1
Ga1 Ga 0.500 0.500 0.000 1
Tc1 Tc 0.500 0.500 0.500 1
Mo1 Mo 0.000 0.500 0.500 1
```